# CrRe2Se

Crystalline CrRe2Se at its relaxed geometry (PBE-GGA, Alexandria via LeMat-Bulk).

abc: 4.7915 4.7915 4.4736
angles: 87.01 87.01 35.59
Fractional coordinates of all 4 atoms:
Cr 0.2679 0.2679 0.2457
Re 0.9959 0.9959 0.0025
Re 0.7310 0.7310 0.7902
Se 0.5052 0.5052 0.4616

Calculated values
Magnetization   0.06 μB/cell
Uncorrected energy   -9.0230 eV/atom
Energy above the most stable polymorph in this dataset   268.7 meV per atom
Space group   Cm (8)

# CsGaPt3

Crystalline CsGaPt3 at its relaxed geometry (PBE-GGA, Alexandria via LeMat-Bulk).

abc: 5.2808 5.2808 5.2808
angles: 90.00 90.00 90.00
Fractional coordinates of all 5 atoms:
Cs 0.0000 0.0000 0.0000
Ga 0.5000 0.5000 0.5000
Pt 0.0000 0.5000 0.0000
Pt 0.0000 0.0000 0.5000
Pt 0.5000 0.0000 0.0000

Calculated values
Magnetization   0.00 μB/cell
Uncorrected energy   -2.5634 eV/atom
Energy above the most stable polymorph in this dataset   1516.8 meV per atom
Space group   Pm-3m (221)

# La2Pr2Sm

Crystalline La2Pr2Sm at its relaxed geometry (PBE-GGA, Alexandria via LeMat-Bulk).

abc: 3.7079 7.4280 16.1457
angles: 125.08 96.59 90.00
Fractional coordinates of all 10 atoms:
La 0.3001 0.5602 0.6002
La 0.6999 0.0580 0.3999
La 0.4994 0.5535 0.9987
La 0.5006 0.0646 0.0011
Pr 0.0993 0.0568 0.1986
Pr 0.9007 0.5614 0.8014
Pr 0.3009 0.0605 0.6018
Pr 0.6992 0.5580 0.3984
Sm 0.1002 0.5595 0.2003
Sm 0.8998 0.0587 0.7996

Calculated values
Magnetization   0.00 μB/cell
Uncorrected energy   -4.8097 eV/atom
Energy above the most stable polymorph in this dataset   0.0 meV per atom
Space group   C2/m (12)

# Hf4IrRh

Crystalline Hf4IrRh at its relaxed geometry (PBE-GGA, Alexandria via LeMat-Bulk).

abc: 3.9800 6.0322 6.0322
angles: 89.84 90.00 90.00
Fractional coordinates of all 6 atoms:
Hf 0.5000 0.2991 0.7010
Hf 0.0000 0.8001 0.8001
Hf 0.0000 0.1999 0.1999
Hf 0.5000 0.7009 0.2990
Ir 0.0000 0.5000 0.5000
Rh 0.5000 0.0000 0.0000

Calculated values
Magnetization   0.00 μB/cell
Uncorrected energy   -9.4570 eV/atom
Space group   Cmmm (65)

# Ba2TiGaHg

Crystalline Ba2TiGaHg at its relaxed geometry (PBE-GGA, Alexandria via LeMat-Bulk).

abc: 6.5274 4.9281 6.5274
angles: 90.00 90.00 90.00
Fractional coordinates of all 5 atoms:
Ti 0.5000 0.5000 0.5000
Hg 0.0000 0.0000 0.0000
Ga 0.0000 0.5000 0.0000
Ba 0.0000 0.0000 0.5000
Ba 0.5000 0.0000 0.0000

Calculated values
Magnetization   0.15 μB/cell
Uncorrected energy   -2.4290 eV/atom
Space group   P4/mmm (123)

# KLa2ZnNi

Crystalline KLa2ZnNi at its relaxed geometry (PBE-GGA, Alexandria via LeMat-Bulk).

abc: 5.6439 5.6439 4.8289
angles: 90.00 90.00 90.00
Fractional coordinates of all 5 atoms:
Ni 0.5000 0.5000 0.5000
Zn 0.0000 0.0000 0.5000
K 0.0000 0.0000 0.0000
La 0.0000 0.5000 0.0000
La 0.5000 0.0000 0.0000

Calculated values
Magnetization   0.34 μB/cell
Uncorrected energy   -2.2259 eV/atom
Space group   P4/mmm (123)

# Li2AcGaO4

Crystalline Li2AcGaO4 at its relaxed geometry (PBE-GGA, Alexandria via LeMat-Bulk).

abc: 3.4057 6.4500 9.7990
angles: 90.00 90.00 105.31
Fractional coordinates of all 16 atoms:
Li 0.4003 0.8005 0.5353
Li 0.5997 0.1995 0.0353
Li 0.5997 0.1995 0.4647
Li 0.4003 0.8005 0.9647
Ac 0.0737 0.1474 0.7500
Ac 0.9263 0.8526 0.2500
Ga 0.7922 0.5843 0.7500
Ga 0.2078 0.4157 0.2500
O 0.3140 0.6280 0.1191
O 0.6860 0.3720 0.6191
O 0.6860 0.3720 0.8809
O 0.3140 0.6280 0.3809
O 0.0000 0.0000 0.5000
O 0.0000 0.0000 0.0000
O 0.3771 0.7543 0.7500
O 0.6229 0.2457 0.2500

Calculated values
Magnetization   0.00 μB/cell
Uncorrected energy   -5.9887 eV/atom
Space group   Cmcm (63)

# HfFeOs2C

Crystalline HfFeOs2C at its relaxed geometry (PBE-GGA, Alexandria via LeMat-Bulk).

abc: 4.0953 4.0953 3.9043
angles: 90.00 90.00 90.00
Fractional coordinates of all 5 atoms:
Hf 0.5000 0.5000 0.5000
C 0.0000 0.0000 0.0000
Os 0.0000 0.5000 0.0000
Os 0.5000 0.0000 0.0000
Fe 0.0000 0.0000 0.5000

Calculated values
Magnetization   0.00 μB/cell
Uncorrected energy   -10.1872 eV/atom
Space group   P4/mmm (123)

Which value of magnetization does entry 5 give?
0.15 μB/cell